Record 1
This record from Alexandria describes a relaxed structure of ZrPaCrC3. The functional is PBE-GGA.

## Properties
The value obtained for the calculated total energy is -113.2 eV for the cell shown.

Lattice parameters (Å, degrees): 7.110 3.376 7.392 90.00 100.16 90.00
Sites, in units of the cell vectors:
Zr 0.143 0.250 0.159
Zr 0.857 0.750 0.841
Pa 0.326 0.750 0.811
Pa 0.674 0.250 0.189
Cr 0.404 0.750 0.400
Cr 0.596 0.250 0.600
C 0.095 0.250 0.844
C 0.326 0.250 0.487
C 0.387 0.750 0.143
C 0.613 0.250 0.857
C 0.674 0.750 0.513
C 0.905 0.750 0.156

---

Record 2
This record from Alexandria describes a relaxed structure of CrPb2C. The functional is PBE-GGA.

## Properties
The value obtained for the calculated total energy is -42.2 eV for the cell shown.

Lattice parameters (Å, degrees): 6.070 6.070 6.070 110.25 110.25 107.92
Sites, in units of the cell vectors:
Cr 0.000 0.000 0.000
Cr 0.750 0.250 0.500
Pb 0.186 0.625 0.061
Pb 0.375 0.436 0.561
Pb 0.564 0.125 0.939
Pb 0.875 0.814 0.439
C 0.250 0.750 0.500
C 0.500 0.500 0.000

---

Record 3
This record from Alexandria describes a relaxed structure of CrPbC2. The functional is PBE-GGA.

## Properties
The value obtained for the calculated total energy is -55.7 eV for the cell shown.

Lattice parameters (Å, degrees): 5.933 5.933 5.933 128.23 128.23 76.26
Sites, in units of the cell vectors:
Cr 0.000 0.000 0.000
Cr 0.750 0.250 0.500
Pb 0.250 0.750 0.500
Pb 0.500 0.500 0.000
C 0.375 0.247 0.372
C 0.753 0.125 0.128
C 0.875 0.003 0.628
C 0.997 0.625 0.872

---

Record 4
This record from Alexandria describes a relaxed structure of CrSb2PbC. The functional is PBE-GGA.

## Properties
For the uncorrected formation energy, the calculation gives 688 meV per atom.

Lattice parameters (Å, degrees): 5.391 5.391 3.772 90.00 90.00 90.00
Sites, in units of the cell vectors:
Cr 0.000 0.000 0.000
Sb 0.000 0.500 0.000
Sb 0.500 0.000 0.000
Pb 0.500 0.500 0.500
C 0.000 0.000 0.500

---

Record 5
This record from Alexandria describes a relaxed structure of Cr2SiPbC. The functional is PBE-GGA.

## Properties
For the uncorrected formation energy, the calculation gives 2902 meV per atom.

Lattice parameters (Å, degrees): 4.984 4.984 4.183 90.00 90.00 90.00
Sites, in units of the cell vectors:
Cr 0.000 0.500 0.000
Cr 0.500 0.000 0.000
Si 0.000 0.000 0.500
Pb 0.500 0.500 0.000
C 0.500 0.500 0.500

---

Record 6
This record from Alexandria describes a relaxed structure of VCr2PbC. The functional is PBE-GGA.

## Properties
The value obtained for the calculated total energy is -27.5 eV for the cell shown.

Lattice parameters (Å, degrees): 5.167 5.167 5.212 90.00 90.00 90.00
Sites, in units of the cell vectors:
V 0.000 0.000 0.000
Cr 0.000 0.500 0.500
Cr 0.500 0.000 0.500
Pb 0.000 0.000 0.500
C 0.500 0.500 0.000

---

Record 7
This record from Alexandria describes a relaxed structure of CrPdC. The functional is PBE-GGA.

## Properties
The value obtained for the calculated total energy is -46.9 eV for the cell shown.

Lattice parameters (Å, degrees): 8.477 8.477 8.477 22.17 22.17 22.17
Sites, in units of the cell vectors:
Cr 0.130 0.130 0.130
Cr 0.870 0.870 0.870
Pd 0.293 0.293 0.293
Pd 0.707 0.707 0.707
C 0.211 0.211 0.211
C 0.789 0.789 0.789

---

Record 8
This record from Alexandria describes a relaxed structure of CrPdC3. The functional is PBE-GGA.

## Properties
The value obtained for the calculated total energy is -27.6 eV for the cell shown.

Lattice parameters (Å, degrees): 3.951 3.951 3.951 90.00 90.00 90.00
Sites, in units of the cell vectors:
Cr 0.000 0.000 0.000
Pd 0.500 0.500 0.500
C 0.000 0.500 0.500
C 0.500 0.000 0.500
C 0.500 0.500 0.000

---

Copy entry 8 word for word.
This record from Alexandria describes a relaxed structure of CrPdC3. The functional is PBE-GGA.

## Properties
The value obtained for the calculated total energy is -27.6 eV for the cell shown.

Lattice parameters (Å, degrees): 3.951 3.951 3.951 90.00 90.00 90.00
Sites, in units of the cell vectors:
Cr 0.000 0.000 0.000
Pd 0.500 0.500 0.500
C 0.000 0.500 0.500
C 0.500 0.000 0.500
C 0.500 0.500 0.000